No. 1
Density functional theory data (PBE+U) for a geometry-optimized KVP2O7 structure.

**Final energy**: -7.207 eV per atom
**D(E_F)**: 0.00 states/eV/f.u.

Lattice parameters (Å, degrees): 7.5006 10.2663 8.3374 90.00 106.91 90.00
Fractional coordinates of all 44 atoms:
K 0.1762 0.1765 0.0597
K 0.1762 0.3235 0.5597
K 0.8238 0.6765 0.4403
K 0.8238 0.8235 0.9403
V 0.2370 0.6005 0.2600
V 0.2370 0.8995 0.7600
V 0.7630 0.1005 0.2400
V 0.7630 0.3995 0.7400
P 0.1313 0.5989 0.8285
P 0.1313 0.9011 0.3285
P 0.4409 0.6363 0.6921
P 0.4409 0.8637 0.1921
P 0.5591 0.1363 0.8079
P 0.5591 0.3637 0.3079
P 0.8687 0.0989 0.6715
P 0.8687 0.4011 0.1715
O 0.0011 0.5017 0.2790
O 0.0011 0.9983 0.7790
O 0.0803 0.7359 0.7532
O 0.0803 0.7641 0.2532
O 0.1411 0.5947 0.0118
O 0.1411 0.9053 0.5118
O 0.3211 0.6076 0.5137
O 0.3211 0.8924 0.0137
O 0.3368 0.5619 0.8135
O 0.3368 0.9381 0.3135
O 0.3641 0.0763 0.7644
O 0.3641 0.4237 0.2644
O 0.4557 0.7192 0.2412
O 0.4557 0.7808 0.7412
O 0.5443 0.2192 0.2588
O 0.5443 0.2808 0.7588
O 0.6359 0.5763 0.7356
O 0.6359 0.9237 0.2356
O 0.6632 0.0619 0.6865
O 0.6632 0.4381 0.1865
O 0.6789 0.1076 0.9863
O 0.6789 0.3924 0.4863
O 0.8589 0.0947 0.4882
O 0.8589 0.4053 0.9882
O 0.9197 0.2359 0.7468
O 0.9197 0.2641 0.2468
O 0.9989 0.0017 0.2210
O 0.9989 0.4983 0.7210

***

No. 2
Density functional theory data (PBE+U) for a geometry-optimized KVPO2 structure.

**D(E_F)**: 6.23 states/eV/f.u.
**ΔE to the lowest computed polymorph**: 2.018 eV/atom

Lattice parameters (Å, degrees): 4.4234 4.4234 5.5116 90.00 90.00 90.00
Fractional coordinates of all 5 atoms:
K 0.0000 0.0000 0.0000
V 0.5000 0.5000 0.5000
P 0.0000 0.0000 0.5000
O 0.0000 0.5000 0.0000
O 0.5000 0.0000 0.0000

***

No. 3
Density functional theory data (PBE+U) for a geometry-optimized K3VP2O8 structure.

**Final energy**: -6.619 eV per atom
**D(E_F)**: 0.00 states/eV/f.u.

Lattice parameters (Å, degrees): 5.4567 5.4567 7.7051 90.00 90.00 120.00
Fractional coordinates of all 14 atoms:
K 0.0000 0.0000 0.0000
K 0.3333 0.6667 0.7400
K 0.6667 0.3333 0.2600
V 0.0000 0.0000 0.5000
P 0.3333 0.6667 0.2775
P 0.6667 0.3333 0.7225
O 0.1773 0.3547 0.3453
O 0.1773 0.8227 0.3453
O 0.3333 0.6667 0.0800
O 0.3547 0.1773 0.6547
O 0.6453 0.8227 0.3453
O 0.6667 0.3333 0.9200
O 0.8227 0.1773 0.6547
O 0.8227 0.6453 0.6547

***

No. 4
Density functional theory data (PBE+U) for a geometry-optimized KVPO4 structure.

**Final energy**: -6.900 eV per atom
**D(E_F)**: 0.00 states/eV/f.u.

Lattice parameters (Å, degrees): 5.4594 5.5913 7.0640 90.00 106.96 90.00
Fractional coordinates of all 14 atoms:
K 0.2023 0.2500 0.4408
K 0.7977 0.7500 0.5592
V 0.2772 0.2500 0.9741
V 0.7228 0.7500 0.0259
P 0.2531 0.7500 0.1568
P 0.7469 0.2500 0.8432
O 0.0706 0.7500 0.9416
O 0.0799 0.7500 0.2973
O 0.4368 0.5287 0.1905
O 0.4368 0.9713 0.1905
O 0.5632 0.0287 0.8095
O 0.5632 0.4713 0.8095
O 0.9201 0.2500 0.7027
O 0.9294 0.2500 0.0584

***

No. 5
Density functional theory data (PBE+U) for a geometry-optimized KVP2O structure.

**D(E_F)**: 4.30 states/eV/f.u.
**ΔE to the lowest computed polymorph**: 1.791 eV/atom

Lattice parameters (Å, degrees): 5.2991 5.2991 4.4067 90.00 90.00 90.00
Fractional coordinates of all 5 atoms:
K 0.0000 0.0000 0.0000
V 0.5000 0.5000 0.5000
P 0.0000 0.5000 0.0000
P 0.5000 0.0000 0.0000
O 0.0000 0.0000 0.5000

***

No. 6
Density functional theory data (PBE+U) for a geometry-optimized KV2PO8 structure.

**Final energy**: -6.977 eV per atom
**D(E_F)**: 0.00 states/eV/f.u.

Lattice parameters (Å, degrees): 5.0634 5.0634 7.7504 92.44 92.44 63.51
Fractional coordinates of all 12 atoms:
K 0.0000 0.0000 0.0000
V 0.3618 0.3618 0.6881
V 0.6382 0.6382 0.3119
P 0.0000 0.0000 0.5000
O 0.1956 0.1956 0.5492
O 0.1990 0.7529 0.6550
O 0.2471 0.8010 0.3450
O 0.3187 0.3187 0.8926
O 0.6813 0.6813 0.1074
O 0.7529 0.1990 0.6550
O 0.8010 0.2471 0.3450
O 0.8044 0.8044 0.4508

***

No. 7
Density functional theory data (PBE+U) for a geometry-optimized KVPO6 structure.

**Final energy**: -6.553 eV per atom
**D(E_F)**: 3.37 states/eV/f.u.

Lattice parameters (Å, degrees): 4.8716 4.8716 5.9847 90.00 90.00 120.00
Fractional coordinates of all 9 atoms:
K 0.0000 0.0000 0.0000
V 0.3333 0.6667 0.5000
P 0.6667 0.3333 0.5000
O 0.4004 0.0289 0.6638
O 0.4004 0.3715 0.3362
O 0.6285 0.0289 0.3362
O 0.6285 0.5996 0.6638
O 0.9711 0.3715 0.6638
O 0.9711 0.5996 0.3362

***

No. 8
Density functional theory data (PBE+U) for a geometry-optimized KVPO5 structure.

**D(E_F)**: 0.00 states/eV/f.u.
**ΔE to the lowest computed polymorph**: 0.021 eV/atom

Lattice parameters (Å, degrees): 7.4815 7.7936 8.5206 90.00 90.00 90.00
Fractional coordinates of all 32 atoms:
K 0.1149 0.0393 0.2395
K 0.3851 0.9607 0.7395
K 0.6149 0.4607 0.7605
K 0.8851 0.5393 0.2605
V 0.1159 0.4487 0.8860
V 0.3841 0.5513 0.3860
V 0.6159 0.0513 0.1140
V 0.8841 0.9487 0.6140
P 0.1202 0.3155 0.5991
P 0.3798 0.6845 0.0991
P 0.6202 0.1845 0.4009
P 0.8798 0.8155 0.9009
O 0.0308 0.9146 0.8112
O 0.0642 0.1312 0.5573
O 0.0793 0.3113 0.0278
O 0.1755 0.4056 0.4445
O 0.2276 0.6765 0.2255
O 0.2724 0.3235 0.7255
O 0.3245 0.5944 0.9445
O 0.4207 0.6887 0.5278
O 0.4358 0.8688 0.0573
O 0.4692 0.0854 0.3112
O 0.5308 0.5854 0.1888
O 0.5642 0.3688 0.4427
O 0.5793 0.1887 0.9722
O 0.6755 0.0944 0.5555
O 0.7276 0.8235 0.7745
O 0.7724 0.1765 0.2745
O 0.8245 0.9056 0.0555
O 0.9207 0.8113 0.4722
O 0.9358 0.6312 0.9427
O 0.9692 0.4146 0.6888

***

No. 9
Density functional theory data (PBE+U) for a geometry-optimized K2VP2O8 structure.

**Final energy**: -6.866 eV per atom
**D(E_F)**: 0.00 states/eV/f.u.

Lattice parameters (Å, degrees): 8.4217 8.4217 5.5273 90.00 90.00 90.00
Fractional coordinates of all 26 atoms:
K 0.1719 0.3281 0.0000
K 0.3281 0.8281 0.0000
K 0.6719 0.1719 0.0000
K 0.8281 0.6719 0.0000
V 0.0000 0.0000 0.4745
V 0.5000 0.5000 0.4745
P 0.1281 0.6281 0.4867
P 0.3719 0.1281 0.4867
P 0.6281 0.8719 0.4867
P 0.8719 0.3719 0.4867
O 0.0000 0.0000 0.7699
O 0.0000 0.5000 0.3769
O 0.0755 0.7851 0.3661
O 0.1265 0.6265 0.7582
O 0.2149 0.0755 0.3661
O 0.2851 0.5755 0.3661
O 0.3735 0.1265 0.7582
O 0.4245 0.2851 0.3661
O 0.5000 0.0000 0.3769
O 0.5000 0.5000 0.7699
O 0.5755 0.7149 0.3661
O 0.6265 0.8735 0.7582
O 0.7149 0.4245 0.3661
O 0.7851 0.9245 0.3661
O 0.8735 0.3735 0.7582
O 0.9245 0.2149 0.3661

***

No. 10
Density functional theory data (PBE+U) for a geometry-optimized KVPO2 structure.

**D(E_F)**: 2.05 states/eV/f.u.
**ΔE to the lowest computed polymorph**: 0.000 eV/atom

Lattice parameters (Å, degrees): 3.9711 3.9711 4.7922 90.00 90.00 90.00
Fractional coordinates of all 5 atoms:
K 0.0000 0.0000 0.0000
V 0.5000 0.5000 0.5000
P 0.5000 0.5000 0.0000
O 0.0000 0.5000 0.5000
O 0.5000 0.0000 0.5000

***

No. 11
Density functional theory data (PBE+U) for a geometry-optimized KVP2O structure.

**D(E_F)**: 3.61 states/eV/f.u.
**ΔE to the lowest computed polymorph**: 0.000 eV/atom

Lattice parameters (Å, degrees): 4.8656 4.8656 3.8324 90.00 90.00 90.00
Fractional coordinates of all 5 atoms:
K 0.0000 0.0000 0.0000
V 0.5000 0.5000 0.5000
P 0.0000 0.5000 0.5000
P 0.5000 0.0000 0.5000
O 0.5000 0.5000 0.0000

***

No. 12
Density functional theory data (PBE+U) for a geometry-optimized KVP2O6 structure.

**Final energy**: -6.784 eV per atom
**D(E_F)**: 0.11 states/eV/f.u.

Lattice parameters (Å, degrees): 7.0324 7.0324 7.0324 43.78 43.78 43.78
Fractional coordinates of all 10 atoms:
K 0.0000 0.0000 0.0000
V 0.5000 0.5000 0.5000
P 0.2481 0.2481 0.2481
P 0.7519 0.7519 0.7519
O 0.0826 0.7100 0.5199
O 0.2900 0.4801 0.9174
O 0.4801 0.9174 0.2900
O 0.5199 0.0826 0.7100
O 0.7100 0.5199 0.0826
O 0.9174 0.2901 0.4801

***

No. 13
Density functional theory data (PBE+U) for a geometry-optimized KVPO5 structure.

**ΔE to the lowest computed polymorph**: 0.000 eV/atom

Lattice parameters (Å, degrees): 12.9671 6.4574 10.6126 90.00 90.00 90.00
Fractional coordinates of all 64 atoms:
K 0.1045 0.2028 0.0000
K 0.1256 0.7783 0.7429
K 0.3744 0.2783 0.2429
K 0.3955 0.7028 0.5000
K 0.6045 0.2972 0.0000
K 0.6256 0.7217 0.7429
K 0.8744 0.2217 0.2429
K 0.8955 0.7972 0.5000
V 0.1256 0.4932 0.4321
V 0.2466 0.7654 0.1846
V 0.2534 0.2654 0.6846
V 0.3744 0.9932 0.9321
V 0.6256 0.0068 0.4321
V 0.7466 0.7346 0.1846
V 0.7534 0.2346 0.6846
V 0.8744 0.5068 0.9321
P 0.0029 0.3337 0.6913
P 0.1803 0.9968 0.4453
P 0.3197 0.4968 0.9453
P 0.4971 0.8337 0.1913
P 0.5029 0.1663 0.6913
P 0.6803 0.5032 0.4453
P 0.8197 0.0032 0.9453
P 0.9971 0.6663 0.1913
O 0.0101 0.5243 0.3092
O 0.0191 0.4780 0.5758
O 0.0920 0.8080 0.1726
O 0.0999 0.1962 0.7132
O 0.1106 0.8071 0.4724
O 0.1116 0.1869 0.4159
O 0.2193 0.5428 0.3190
O 0.2267 0.4534 0.5720
O 0.2459 0.4544 0.8326
O 0.2471 0.5316 0.0606
O 0.2529 0.0316 0.5606
O 0.2541 0.9544 0.3326
O 0.2733 0.9534 0.0720
O 0.2807 0.0428 0.8190
O 0.3884 0.6869 0.9159
O 0.3894 0.3071 0.9724
O 0.4001 0.6962 0.2132
O 0.4080 0.3080 0.6726
O 0.4809 0.9780 0.0758
O 0.4899 0.0243 0.8092
O 0.5101 0.9757 0.3092
O 0.5191 0.0220 0.5758
O 0.5920 0.6920 0.1726
O 0.5999 0.3038 0.7132
O 0.6106 0.6929 0.4724
O 0.6116 0.3131 0.4159
O 0.7193 0.9572 0.3190
O 0.7267 0.0466 0.5720
O 0.7459 0.0456 0.8326
O 0.7471 0.9684 0.0606
O 0.7529 0.4684 0.5606
O 0.7541 0.5456 0.3326
O 0.7733 0.5466 0.0720
O 0.7807 0.4572 0.8190
O 0.8884 0.8131 0.9159
O 0.8894 0.1929 0.9724
O 0.9001 0.8038 0.2132
O 0.9080 0.1920 0.6726
O 0.9809 0.5220 0.0758
O 0.9899 0.4757 0.8092

***

no.,spin magnetization (μB per cell),calculated volume (A^3/atom)
1,8.0,13.96
2,4.4,21.57
3,2.0,14.19
4,6.0,14.73
5,0.4,24.75
6,0.0,14.80
7,1.0,13.67
8,4.0,15.53
9,2.0,15.08
10,0.8,15.11
11,0.6,18.15
12,4.0,15.12
13,8.0,13.88